# 1
DFT (PBE) results for LiAc2GeO5 after structural relaxation.

extended XYZ file:
```
18
Lattice="-0.017 -5.401 -2.349 5.488 1.848 -4.290 4.671 -2.202 5.027" Properties=species:S:1:pos:R:3 pbc="T T T"
Ac 5.559 -3.914 1.574
Ac 2.475 -3.065 -0.356
Ac 7.666 -2.690 -1.256
Ac 4.583 -1.841 -3.185
O 5.071 -2.877 -0.806
O 6.490 -3.333 -3.667
O 6.499 -0.481 -2.426
O 3.643 -5.274 0.815
O 7.508 -4.878 -0.124
O 2.634 -0.877 -1.488
O 2.625 -3.729 -2.729
O 3.652 -2.421 2.055
O -0.009 -2.701 -1.175
O 7.517 -2.025 1.117
Ge 2.335 -1.101 2.514
Ge 2.744 0.924 -2.145
Li 5.080 -0.177 0.369
Li 0.000 0.000 0.000
```

Computed properties:
- theoretical density (g cm⁻³) = 6.7
- electronic total energy (eV per atom) = -6.61

# 2
DFT (PBE) results for Li4Ac2GePb3 after structural relaxation.

extended XYZ file:
```
10
Lattice="-1.369 4.505 -0.451 -4.463 -1.423 -0.663 -1.803 0.550 10.956" Properties=species:S:1:pos:R:3 pbc="T T T"
Pb -2.253 2.731 9.299
Pb -0.902 0.275 5.478
Pb -2.467 -0.640 1.100
Ac -3.579 -0.301 7.853
Ac -1.141 2.392 2.545
Li 0.000 0.000 0.000
Li -2.910 -0.504 3.793
Li -2.916 1.541 -0.557
Li -1.809 2.595 6.605
Ge -3.818 1.816 4.920
```

Computed properties:
- theoretical density (g cm⁻³) = 7.8
- electronic total energy (eV per atom) = -3.60
- calculated formation energy (eV/atom) = -0.44

# 3
DFT (PBE) results for LiAcGePb after structural relaxation.

extended XYZ file:
```
4
Lattice="5.333 0.000 0.000 2.667 4.619 0.000 2.667 1.540 4.355" Properties=species:S:1:pos:R:3 pbc="T T T"
Ge 2.667 1.540 1.089
Li 8.000 4.619 3.266
Pb 5.333 3.079 2.177
Ac 0.000 0.000 0.000
```

Computed properties:
- theoretical density (g cm⁻³) = 8.0
- electronic total energy (eV per atom) = -3.84
- calculated formation energy (eV/atom) = -0.25

# 4
DFT (PBE) results for LiAcGe2Pd5 after structural relaxation.

extended XYZ file:
```
9
Lattice="4.305 0.000 0.000 0.000 4.305 0.000 0.000 0.000 9.251" Properties=species:S:1:pos:R:3 pbc="T T T"
Pd 0.000 2.152 2.414
Pd 2.152 0.000 6.838
Pd 2.152 2.152 4.626
Pd 0.000 2.152 6.838
Pd 2.152 0.000 2.414
Ge 2.152 2.152 8.037
Ge 2.152 2.152 1.215
Li 0.000 0.000 0.000
Ac 0.000 0.000 4.626
```

Computed properties:
- theoretical density (g cm⁻³) = 8.8
- electronic total energy (eV per atom) = -5.15
- calculated formation energy (eV/atom) = -0.57

# 5
DFT (PBE) results for LiAcGe2Pd2 after structural relaxation.

extended XYZ file:
```
6
Lattice="-1.902 3.177 -2.319 -2.041 -1.690 3.474 3.102 4.944 4.227" Properties=species:S:1:pos:R:3 pbc="T T T"
Pd -0.018 3.082 4.236
Pd -0.823 3.348 1.145
Ac 0.000 0.000 0.000
Ge 0.266 5.083 2.628
Ge -1.106 1.348 2.753
Li 1.551 2.472 2.114
```

Computed properties:
- theoretical density (g cm⁻³) = 8.3
- electronic total energy (eV per atom) = -5.04
- calculated formation energy (eV/atom) = -0.76

# 6
DFT (PBE) results for LiAcGe2Pd after structural relaxation.

extended XYZ file:
```
5
Lattice="4.422 0.000 0.000 0.000 4.422 0.000 -2.211 -2.211 5.301" Properties=species:S:1:pos:R:3 pbc="T T T"
Li 0.000 2.211 2.650
Pd 2.211 0.000 2.650
Ge 2.211 2.211 1.276
Ge 0.000 0.000 4.025
Ac 0.000 0.000 0.000
```

Computed properties:
- theoretical density (g cm⁻³) = 7.8
- electronic total energy (eV per atom) = -4.82
- calculated formation energy (eV/atom) = -0.73

# 7
DFT (PBE) results for LiAc2Ge3Pd4 after structural relaxation.

extended XYZ file:
```
10
Lattice="4.432 0.000 0.000 0.000 4.432 0.000 0.000 0.000 10.418" Properties=species:S:1:pos:R:3 pbc="T T T"
Pd 2.216 2.216 0.000
Pd 0.000 0.000 0.000
Pd 0.000 2.216 3.871
Pd 2.216 0.000 6.547
Ge 0.000 2.216 1.316
Ge 2.216 0.000 9.102
Ge 0.000 0.000 5.209
Li 2.216 2.216 5.209
Ac 0.000 2.216 7.797
Ac 2.216 0.000 2.622
```

Computed properties:
- theoretical density (g cm⁻³) = 9.0
- electronic total energy (eV per atom) = -5.29
- calculated formation energy (eV/atom) = -0.81

# 8
DFT (PBE) results for Li2Ac3GePd9 after structural relaxation.

extended XYZ file:
```
15
Lattice="6.092 0.000 0.000 -3.046 5.276 0.000 0.000 0.000 9.569" Properties=species:S:1:pos:R:3 pbc="T T T"
Pd 0.000 1.793 3.135
Pd 4.540 0.896 6.435
Pd 1.552 0.896 6.435
Pd -1.523 2.638 0.000
Pd 3.046 3.483 6.435
Pd 1.494 4.380 3.135
Pd 1.523 2.638 0.000
Pd -1.494 4.380 3.135
Pd 3.046 0.000 0.000
Ge 0.000 0.000 4.785
Li 0.000 3.517 1.500
Li 3.046 1.759 8.070
Ac 0.000 3.517 6.540
Ac 0.000 0.000 0.000
Ac 3.046 1.759 3.030
```

Computed properties:
- theoretical density (g cm⁻³) = 9.3
- electronic total energy (eV per atom) = -5.06
- calculated formation energy (eV/atom) = -0.56